Record 1
Hf2ZnRh6 after structural relaxation. Source: the Alexandria database, functional PBE.

Unit cell a=4.2780 b=6.0405 c=7.2248 alpha=114.71 beta=107.29 gamma=90.00
Closest atoms and distances in Å follow each position.
Element x y z (fractional)
Rh (0.8369, 0.0823, 0.6707)  1 Zn 2.53, 3 Hf 2.62-2.63
Rh (0.8369, 0.5884, 0.6707)  1 Zn 2.53, 3 Hf 2.62-2.63
Rh (0.1631, 0.9177, 0.3293)  1 Zn 2.53, 3 Hf 2.62-2.63
Hf (0.3409, 0.3388, 0.6775)  8 Rh 2.59-2.63
Rh (0.1631, 0.4116, 0.3293)  1 Zn 2.53, 3 Hf 2.62-2.63
Rh (0.5000, 0.7727, 0.0000)  2 Zn 2.54, 2 Hf 2.59, 1 Rh 2.75
Hf (0.6591, 0.6612, 0.3225)  8 Rh 2.59-2.63
Rh (0.5000, 0.2273, 0.0000)  2 Zn 2.54, 2 Hf 2.59, 1 Rh 2.75
Zn (0.0000, 0.0000, 0.0000)  8 Rh 2.53-2.54

## Properties
- D(E_F) (states/eV/atom) = 1.00
- energy relative to the elements (eV per atom) = -0.17

=====

Record 2
V2InPd after structural relaxation. Source: the Alexandria database, functional PBE.

Unit cell a=7.2655 b=7.2655 c=5.7717 alpha=50.99 beta=50.99 gamma=90.00
Closest atoms and distances in Å follow each position.
Element x y z (fractional)
In (0.0000, 0.0000, 0.0000)  2 Pd 2.63, 4 V 2.80
V (0.8750, 0.8464, 0.7500)  2 Pd 2.51, 2 V 2.66, 2 In 2.80
In (0.7500, 0.2500, 0.5000)  2 Pd 2.63, 4 V 2.80
V (0.5964, 0.1250, 0.2500)  2 Pd 2.51, 2 V 2.66, 2 In 2.80
Pd (0.5000, 0.5000, 0.0000)  4 V 2.51, 2 In 2.63
V (0.3750, 0.4036, 0.7500)  2 Pd 2.51, 2 V 2.66, 2 In 2.80
V (0.1536, 0.6250, 0.2500)  2 Pd 2.51, 2 V 2.66, 2 In 2.80
Pd (0.2500, 0.7500, 0.5000)  4 V 2.51, 2 In 2.63

## Properties
- D(E_F) (states/eV/atom) = 1.21
- energy relative to the elements (eV per atom) = 0.45

=====

Record 3
SrMgCd3 after structural relaxation. Source: the Alexandria database, functional PBE.

Unit cell a=5.3628 b=5.3628 c=5.3628 alpha=90.00 beta=90.00 gamma=90.00
Closest atoms and distances in Å follow each position.
Element x y z (fractional)
Cd (0.0000, 0.0000, 0.5000)  2 Mg 2.68
Cd (0.0000, 0.5000, 0.0000)  2 Mg 2.68
Sr (0.5000, 0.5000, 0.5000)  12 Cd 3.79
Cd (0.5000, 0.0000, 0.0000)  2 Mg 2.68
Mg (0.0000, 0.0000, 0.0000)  6 Cd 2.68

## Properties
- E above lowest polymorph (meV per atom) = 241
- D(E_F) (states/eV/atom) = 0.57
- energy relative to the elements (eV per atom) = 0.02

=====

Record 4
Sm4RuSCl2 after structural relaxation. Source: the Alexandria database, functional PBE.

Unit cell a=3.9515 b=7.4477 c=7.2892 alpha=73.27 beta=90.00 gamma=90.00
Closest atoms and distances in Å follow each position.
Element x y z (fractional)
Sm (0.0000, 0.2905, 0.2237)  2 Ru 2.74, 1 S 2.88, 1 Cl 3.06
Sm (0.0000, 0.7095, 0.7763)  2 Ru 2.74, 1 S 2.88, 1 Cl 3.06
S (0.0000, 0.5000, 0.5000)  6 Sm 2.80-2.88
Cl (0.0000, 0.0000, 0.0000)  6 Sm 3.06-3.13
Cl (0.5000, 0.0000, 0.5000)  6 Sm 3.18-3.19
Sm (0.5000, 0.7070, 0.2559)  1 Ru 2.74, 2 S 2.80
Sm (0.5000, 0.2930, 0.7441)  1 Ru 2.74, 2 S 2.80
Ru (0.5000, 0.5000, 0.0000)  6 Sm 2.74

## Properties
- D(E_F) (states/eV/atom) = 0.72
- E_form (uncorrected) (eV per formula unit) = -10.21

=====

Record 5
Tl2ZnSb after structural relaxation. Source: the Alexandria database, functional PBE.

Unit cell a=4.4101 b=3.4580 c=7.5315 alpha=77.92 beta=90.00 gamma=90.00
Closest atoms and distances in Å follow each position.
Element x y z (fractional)
Tl (0.5000, 0.2882, 0.2976)  4 Zn 3.17-3.18, 2 Tl 3.46, 1 Sb 3.51
Tl (0.0000, 0.9434, 0.9828)  4 Sb 3.40-3.42, 6 Tl 3.46-3.66
Zn (0.0000, 0.6983, 0.5000)  2 Sb 2.74
Sb (0.5000, 0.5701, 0.7196)  2 Zn 2.74

## Properties
- E above lowest polymorph (meV per atom) = 45
- D(E_F) (states/eV/atom) = 0.43
- E_form (uncorrected) (eV per formula unit) = 0.27

=====

Record 6
LaAl2Se after structural relaxation. Source: the Alexandria database, functional PBE.

Unit cell a=5.1385 b=5.1385 c=5.1385 alpha=60.00 beta=60.00 gamma=60.00
Closest atoms and distances in Å follow each position.
Element x y z (fractional)
Al (0.7500, 0.7500, 0.7500)  4 La 3.15, 4 Se 3.15
La (0.5000, 0.5000, 0.5000)  8 Al 3.15
Al (0.2500, 0.2500, 0.2500)  4 La 3.15, 4 Se 3.15
Se (0.0000, 0.0000, 0.0000)  8 Al 3.15

## Properties
- E above lowest polymorph (meV per atom) = 564
- D(E_F) (states/eV/atom) = 0.56
- E_form (uncorrected) (eV per formula unit) = -0.22

=====

Record 7
La2ZrAl after structural relaxation. Source: the Alexandria database, functional PBE.

Unit cell a=5.8342 b=5.8342 c=3.4114 alpha=90.00 beta=90.00 gamma=109.89
Closest atoms and distances in Å follow each position.
Element x y z (fractional)
Zr (0.5000, 0.0000, 0.5000)  2 Al 3.35, 8 La 3.38, 2 Zr 3.41
La (0.5000, 0.5000, 0.0000)  4 La 3.35-3.41, 4 Zr 3.38, 4 Al 3.38
Al (0.0000, 0.5000, 0.5000)  2 Zr 3.35, 8 La 3.38, 2 Al 3.41
La (0.0000, 0.0000, 0.0000)  4 La 3.35-3.41, 4 Al 3.38, 4 Zr 3.38

## Properties
- D(E_F) (states/eV/atom) = 1.35
- energy relative to the elements (eV per atom) = -0.02

=====

Record 8
BaSe2Cl after structural relaxation. Source: the Alexandria database, functional PBE.

Unit cell a=3.9958 b=3.9955 c=7.8016 alpha=90.00 beta=90.00 gamma=90.00
Closest atoms and distances in Å follow each position.
Element x y z (fractional)
Se (0.0000, 0.0000, 0.1228)  4 Se 2.86, 1 Ba 3.05
Se (0.5000, 0.5000, 0.1787)  4 Se 2.86
Ba (0.0000, 0.0000, 0.5138)  1 Se 3.05, 4 Cl 3.12
Cl (0.5000, 0.5000, 0.6847)  4 Ba 3.12

## Properties
- E above lowest polymorph (meV per atom) = 161
- D(E_F) (states/eV/atom) = 0.03
- E_form (uncorrected) (eV per formula unit) = -4.77

=====

Record 9
AlCoW2 after structural relaxation. Source: the Alexandria database, functional PBE.

Unit cell a=4.8576 b=4.8576 c=2.6912 alpha=90.00 beta=90.00 gamma=115.04
Closest atoms and distances in Å follow each position.
Element x y z (fractional)
W (0.5000, 0.5000, 0.0000)  4 W 2.61-2.69, 4 Al 2.78, 4 Co 2.78
W (0.0000, 0.0000, 0.0000)  4 W 2.61-2.69, 4 Co 2.78, 4 Al 2.78
Co (0.0000, 0.5000, 0.5000)  2 Al 2.61, 2 Co 2.69, 8 W 2.78
Al (0.5000, 0.0000, 0.5000)  2 Co 2.61, 2 Al 2.69, 8 W 2.78

## Properties
- D(E_F) (states/eV/atom) = 0.98
- energy relative to the elements (eV per atom) = 0.10

=====

Record 10
LaHf2MoC after structural relaxation. Source: the Alexandria database, functional PBE.

Unit cell a=5.1228 b=4.6631 c=5.1228 alpha=90.00 beta=90.00 gamma=90.00
Closest atoms and distances in Å follow each position.
Element x y z (fractional)
Mo (0.0000, 0.5000, 0.0000)  2 La 2.33
C (0.5000, 0.5000, 0.5000)  8 Hf 3.46, 4 Mo 3.62
Hf (0.5000, 0.0000, 0.0000)  2 La 2.56
Hf (0.0000, 0.0000, 0.5000)  2 La 2.56
La (0.0000, 0.0000, 0.0000)  2 Mo 2.33, 4 Hf 2.56

## Properties
- D(E_F) (states/eV/atom) = 0.66
- energy relative to the elements (eV per atom) = 2.93

=====

Record 11
TiBSN2 after structural relaxation. Source: the Alexandria database, functional PBE.

Unit cell a=3.2239 b=3.2239 c=5.6693 alpha=90.00 beta=90.00 gamma=90.00
Closest atoms and distances in Å follow each position.
Element x y z (fractional)
N (0.5000, 0.0000, 0.0000)  2 B 1.61
Ti (0.5000, 0.5000, 0.5000)  4 S 2.28
S (0.0000, 0.0000, 0.5000)  4 Ti 2.28
N (0.0000, 0.5000, 0.0000)  2 B 1.61
B (0.0000, 0.0000, 0.0000)  4 N 1.61

## Properties
- E above lowest polymorph (meV per atom) = 0
- D(E_F) (states/eV/atom) = 0.50
- E_form (uncorrected) (eV per formula unit) = 2.78

=====

Record 12
PdS2ClO8 after structural relaxation. Source: the Alexandria database, functional PBE.

Unit cell a=4.8129 b=4.8129 c=8.9185 alpha=87.78 beta=87.78 gamma=66.31
Closest atoms and distances in Å follow each position.
Element x y z (fractional)
O (0.2818, 0.2818, 0.6857)  1 S 1.43
O (0.2524, 0.2524, 0.9679)  1 S 1.51
O (0.7476, 0.7476, 0.0321)  1 S 1.51
O (0.2926, 0.7577, 0.1664)  1 S 1.53
O (0.2423, 0.7074, 0.8336)  1 S 1.53
S (0.3624, 0.3624, 0.8255)  4 O 1.43-1.53
Cl (0.0000, 0.0000, 0.5000)  2 O 2.87
O (0.7182, 0.7182, 0.3143)  1 S 1.43
S (0.6376, 0.6376, 0.1745)  4 O 1.43-1.53
O (0.7577, 0.2926, 0.1664)  1 S 1.53
Pd (0.0000, 0.0000, 0.0000)  6 O 2.04-2.06
O (0.7074, 0.2423, 0.8336)  1 S 1.53

## Properties
- D(E_F) (states/eV/atom) = 0.62
- E_form (uncorrected) (eV per formula unit) = -8.34

=====

What did the seventh record say?
La2ZrAl after structural relaxation. Source: the Alexandria database, functional PBE.

Unit cell a=5.8342 b=5.8342 c=3.4114 alpha=90.00 beta=90.00 gamma=109.89
Closest atoms and distances in Å follow each position.
Element x y z (fractional)
Zr (0.5000, 0.0000, 0.5000)  2 Al 3.35, 8 La 3.38, 2 Zr 3.41
La (0.5000, 0.5000, 0.0000)  4 La 3.35-3.41, 4 Zr 3.38, 4 Al 3.38
Al (0.0000, 0.5000, 0.5000)  2 Zr 3.35, 8 La 3.38, 2 Al 3.41
La (0.0000, 0.0000, 0.0000)  4 La 3.35-3.41, 4 Al 3.38, 4 Zr 3.38

## Properties
- D(E_F) (states/eV/atom) = 1.35
- energy relative to the elements (eV per atom) = -0.02